Compound: Cs2Co3PbF12
Source: Alexandria via LeMat-Bulk
Functional: PBE with a Hubbard U
Structure: relaxed

Cell and atoms, written as POSCAR:
```
Cs2Co3PbF12
1.0
3.7988 2.1932 6.1499
-3.7988 2.1932 6.1499
0.0000 -4.3865 6.1499
Cs Co Pb F
2 3 1 12
direct
0.1107 0.1107 0.1107
0.8893 0.8893 0.8893
0.0000 0.5000 0.5000
0.5000 0.0000 0.5000
0.5000 0.5000 0.0000
0.5000 0.5000 0.5000
0.1017 0.6051 0.6051
0.2068 0.2068 0.5949
0.2068 0.5949 0.2068
0.3949 0.3949 0.8983
0.3949 0.8983 0.3949
0.4051 0.7932 0.7932
0.5949 0.2068 0.2068
0.6051 0.1017 0.6051
0.6051 0.6051 0.1017
0.7932 0.4051 0.7932
0.7932 0.7932 0.4051
0.8983 0.3949 0.3949
```

Results
electronic total energy: -4.6899 eV/atom
volume: 307 Å³/f.u.
space-group type: R-3m (166)
total moment: 11.00 μB per cell